(1)
The following is a PBE calculation of an optimized crystal structure of LiZn2NiC, from the Alexandria database.

Unit cell a=3.9705 b=3.9705 c=3.9641 alpha=90.00 beta=90.00 gamma=90.00
Closest atoms and distances in Å follow each position.
Element x y z (fractional)
Li1 0.0000 0.0000 0.0000  2 C 1.98
Zn1 0.0000 0.5000 0.5000  2 C 1.99
Zn2 0.5000 0.0000 0.5000  2 C 1.99
Ni1 0.5000 0.5000 0.0000  8 Zn 2.81, 4 Li 2.81
C1 0.0000 0.0000 0.5000  2 Li 1.98, 4 Zn 1.99

Properties
Space group   No. 123
Magnetic moment   0.00 μB per formula unit
Energy relative to the elements   263 kJ/mol of formula units
N(E_F)   3.3 states/eV per cell

(2)
The following is a PBE calculation of an optimized crystal structure of LiNpC, from the Alexandria database.

Unit cell a=3.3492 b=8.3740 c=4.8101 alpha=90.00 beta=133.90 gamma=90.00
Closest atoms and distances in Å follow each position.
Element x y z (fractional)
Li1 0.0000 0.0965 0.2500  1 C 2.33
Li2 0.0000 0.9035 0.7500  1 C 2.33
Np1 0.0000 0.3456 0.7500  5 C 2.34-2.43
Np2 0.0000 0.6544 0.2500  5 C 2.34-2.43
C1 0.0000 0.3747 0.2500  1 Li 2.33, 5 Np 2.34-2.43
C2 0.0000 0.6253 0.7500  1 Li 2.33, 5 Np 2.34-2.43

Properties
Space group   No. 13
Magnetic moment   2.94 μB per formula unit
Energy relative to the elements   59 kJ/mol of formula units
N(E_F)   13.7 states/eV per cell

(3)
The following is a PBE calculation of an optimized crystal structure of Li2NpCO6, from the Alexandria database.

Unit cell a=5.1821 b=5.1920 c=9.3259 alpha=90.00 beta=90.00 gamma=90.00
Closest atoms and distances in Å follow each position.
Element x y z (fractional)
Li1 0.0000 0.0000 0.2498  4 O 2.11-2.12
Li2 0.0000 0.0000 0.7502  4 O 2.11-2.12
Li3 0.5000 0.5000 0.2502  4 O 2.11-2.12
Li4 0.5000 0.5000 0.7498  4 O 2.11-2.12
Np1 0.0000 0.5000 0.0000  4 O 1.95
Np2 0.5000 0.0000 0.5000  4 O 1.95
C1 0.0000 0.5000 0.5000  2 O 1.17
C2 0.5000 0.0000 0.0000  2 O 1.17
O1 0.1604 0.3412 0.5000  1 C 1.17
O2 0.1869 0.3139 0.1483  1 Np 1.95, 2 Li 2.11-2.12
O3 0.1869 0.3139 0.8517  1 Np 1.95, 2 Li 2.11-2.12
O4 0.3131 0.8139 0.3517  1 Np 1.95, 2 Li 2.11-2.12
O5 0.3131 0.8139 0.6483  1 Np 1.95, 2 Li 2.11-2.12
O6 0.3396 0.8412 0.0000  1 C 1.17
O7 0.6604 0.1588 0.0000  1 C 1.17
O8 0.6869 0.1861 0.3517  1 Np 1.95, 2 Li 2.11-2.12
O9 0.6869 0.1861 0.6483  1 Np 1.95, 2 Li 2.11-2.12
O10 0.8131 0.6861 0.1483  1 Np 1.95, 2 Li 2.11-2.12
O11 0.8131 0.6861 0.8517  1 Np 1.95, 2 Li 2.11-2.12
O12 0.8396 0.6588 0.5000  1 C 1.17

Properties
Space group   No. 58
Magnetic moment   1.00 μB per formula unit
E_form (uncorrected)   -1.984 eV per atom

Question: Which of these has the lowest magnetic moment?
Answer: LiZn2NiC

Question: Which of these has the highest magnetic moment?
Answer: LiNpC